Rh3W | meta-GGA SCAN | PBEsol geometry

## Properties
- Calculated formation energy: -24.2 kJ/mol of atoms
- DOS at the Fermi energy: 9.27 states/eV per cell
- Crystal system: hexagonal
- Calculated density: 14.76 g/cm³

a = 5.4025 Å, b = 5.4025 Å, c = 8.7697 Å
α = 90.00°, β = 90.00°, γ = 120.00°
Last column: nearest neighbours and their distance in Å.
Space group P6_3/mmc (No. 194)
Asymmetric unit:
Rh 0.0000 0.5000 0.0000 [6 per cell]  8 Rh 2.69-2.70, 4 W 2.69-2.70
Rh 0.1684 0.3368 0.2500 [6 per cell]  8 Rh 2.67-2.73, 4 W 2.70
W 0.0000 0.0000 0.0000 [2 per cell]  12 Rh 2.70
W 0.3333 0.6667 0.7500 [2 per cell]  12 Rh 2.69-2.70

***

Mo2IrRh | meta-GGA SCAN | PBEsol geometry

## Properties
- Calculated formation energy: -15.4 kJ/mol of atoms
- DOS at the Fermi energy: 7.62 states/eV per cell
- Crystal system: tetragonal
- Calculated density: 13.99 g/cm³

a = 3.8703 Å, b = 3.8703 Å, c = 7.7155 Å
α = 90.00°, β = 90.00°, γ = 90.00°
Last column: nearest neighbours and their distance in Å.
Space group I-4m2 (No. 119)
Asymmetric unit:
Mo 0.0000 0.0000 0.0000 [2 per cell]  4 Mo 2.73, 4 Rh 2.73, 4 Ir 2.74
Mo 0.0000 0.5000 0.2500 [2 per cell]  4 Mo 2.73, 4 Ir 2.73, 4 Rh 2.74
Ir 0.0000 0.0000 0.5000 [2 per cell]  8 Mo 2.73-2.74, 4 Rh 2.73
Rh 0.0000 0.5000 0.7500 [2 per cell]  8 Mo 2.73-2.74, 4 Ir 2.73

***

ScRh2 | meta-GGA SCAN | PBEsol geometry

## Properties
- Calculated formation energy: -27.5 kJ/mol of atoms
- DOS at the Fermi energy: 3.25 states/eV per cell
- Crystal system: tetragonal
- Calculated density: 7.82 g/cm³

a = 3.6219 Å, b = 3.6219 Å, c = 4.0577 Å
α = 90.00°, β = 90.00°, γ = 90.00°
Last column: nearest neighbours and their distance in Å.
Space group P4/mmm (No. 123)
Asymmetric unit:
Sc 0.0000 0.0000 0.0000 [1 per cell]  8 Rh 2.72
Rh 0.0000 0.5000 0.5000 [2 per cell]  4 Rh 2.56, 4 Sc 2.72

***

CoPbBr2 | meta-GGA SCAN | PBEsol geometry

## Properties
- Uncorrected formation energy: 72 meV/atom
- DOS at the Fermi energy: 2.98 states/eV per cell
- Crystal system: tetragonal
- Calculated density: 7.89 g/cm³

a = 3.2518 Å, b = 3.2518 Å, c = 8.4803 Å
α = 90.00°, β = 90.00°, γ = 90.00°
Last column: nearest neighbours and their distance in Å.
Space group P4/mmm (No. 123)
Asymmetric unit:
Co 0.0000 0.0000 0.0000 [1 per cell]  8 Br 2.78
Pb 0.0000 0.0000 0.5000 [1 per cell]  4 Pb 3.25, 8 Br 3.53
Br 0.5000 0.5000 0.1836 [2 per cell]  4 Co 2.78

***

PbBrF | meta-GGA SCAN | PBEsol geometry

## Properties
- Uncorrected formation energy: -1736 meV/atom
- DOS at the Fermi energy: 0.00 states/eV per cell
- Crystal system: tetragonal
- Calculated density: 7.86 g/cm³

a = 4.1433 Å, b = 4.1433 Å, c = 7.5345 Å
α = 90.00°, β = 90.00°, γ = 90.00°
Last column: nearest neighbours and their distance in Å.
Space group P4/nmm (No. 129, origin choice 2)
Asymmetric unit:
Pb 0.2500 0.2500 0.1946 [2 per cell]  4 F 2.54
Br 0.2500 0.2500 0.6469 [2 per cell]  5 Pb 3.16-3.41, 4 F 3.37
F 0.2500 0.7500 0.0000 [2 per cell]  4 Pb 2.54

***

TiAlIr2 | meta-GGA SCAN | PBEsol geometry

## Properties
- Calculated formation energy: -109.5 kJ/mol of atoms
- DOS at the Fermi energy: 10.17 states/eV per cell
- Crystal system: cubic
- Calculated density: 13.52 g/cm³

a = 6.0875 Å, b = 6.0875 Å, c = 6.0875 Å
α = 90.00°, β = 90.00°, γ = 90.00°
Last column: nearest neighbours and their distance in Å.
Space group Fm-3m (No. 225)
Asymmetric unit:
Ti 0.0000 0.0000 0.0000 [4 per cell]  8 Ir 2.64
Al 0.0000 0.0000 0.5000 [4 per cell]  8 Ir 2.64
Ir 0.2500 0.2500 0.2500 [8 per cell]  4 Al 2.64, 4 Ti 2.64

***

Hf2CuOs | meta-GGA SCAN | PBEsol geometry

## Properties
- Calculated formation energy: -53.9 kJ/mol of atoms
- DOS at the Fermi energy: 7.53 states/eV per cell
- Crystal system: cubic
- Calculated density: 15.27 g/cm³

a = 6.4282 Å, b = 6.4282 Å, c = 6.4282 Å
α = 90.00°, β = 90.00°, γ = 90.00°
Last column: nearest neighbours and their distance in Å.
Space group Fm-3m (No. 225)
Asymmetric unit:
Hf 0.2500 0.2500 0.2500 [8 per cell]  4 Os 2.78, 4 Cu 2.78
Cu 0.0000 0.0000 0.0000 [4 per cell]  8 Hf 2.78
Os 0.0000 0.0000 0.5000 [4 per cell]  8 Hf 2.78

***

HfBeSi | meta-GGA SCAN | PBEsol geometry

## Properties
- Uncorrected formation energy: -657 meV/atom
- DOS at the Fermi energy: 0.93 states/eV per cell
- Crystal system: hexagonal
- Calculated density: 8.65 g/cm³

a = 3.6888 Å, b = 3.6888 Å, c = 7.0267 Å
α = 90.00°, β = 90.00°, γ = 120.00°
Last column: nearest neighbours and their distance in Å.
Space group P6_3/mmc (No. 194)
Asymmetric unit:
Hf 0.0000 0.0000 0.0000 [2 per cell]  6 Be 2.76, 6 Si 2.76
Be 0.3333 0.6667 0.2500 [2 per cell]  3 Si 2.13
Si 0.3333 0.6667 0.7500 [2 per cell]  3 Be 2.13

***

Li2AlAg | meta-GGA SCAN | PBEsol geometry

## Properties
- Calculated formation energy: -20.3 kJ/mol of atoms
- DOS at the Fermi energy: 2.51 states/eV per cell
- Crystal system: orthorhombic
- Calculated density: 4.01 g/cm³

a = 3.0382 Å, b = 4.4209 Å, c = 9.1752 Å
α = 90.00°, β = 90.00°, γ = 90.00°
Last column: nearest neighbours and their distance in Å.
Space group Immm (No. 71)
Asymmetric unit:
Li 0.0000 0.0000 0.2425 [4 per cell]  4 Li 2.69, 2 Ag 2.69, 2 Al 2.81
Al 0.0000 0.5000 0.0000 [2 per cell]  4 Ag 2.68, 4 Li 2.81
Ag 0.0000 0.5000 0.5000 [2 per cell]  4 Al 2.68, 4 Li 2.69

***

Sr2NdGaCu2O7 | meta-GGA SCAN | PBEsol geometry

## Properties
- Uncorrected formation energy: -2344 meV/atom
- DOS at the Fermi energy: 5.78 states/eV per cell
- Crystal system: orthorhombic
- Calculated density: 6.14 g/cm³

a = 22.9495 Å, b = 5.4993 Å, c = 5.3841 Å
α = 90.00°, β = 90.00°, γ = 90.00°
Last column: nearest neighbours and their distance in Å.
Space group Ima2 (No. 46)
Asymmetric unit:
Sr 0.1520 0.0169 0.0000 [8 per cell]  5 O 2.45-2.71
Nd 0.0000 0.0000 0.9977 [4 per cell]  8 O 2.44-2.48
Ga 0.2500 0.5697 0.0361 [4 per cell]  4 O 1.84-1.90
Cu 0.0757 0.5009 0.9971 [8 per cell]  4 O 1.93-1.94
O 0.0658 0.2482 0.7485 [8 per cell]  2 Cu 1.94
O 0.0680 0.7501 0.2468 [8 per cell]  2 Cu 1.93
O 0.1765 0.0455 0.4709 [8 per cell]  1 Ga 1.84
O 0.2500 0.6183 0.3863 [4 per cell]  2 Ga 1.90

***

CoRh | meta-GGA SCAN | PBEsol geometry

## Properties
- Calculated formation energy: 7.1 kJ/mol of atoms
- DOS at the Fermi energy: 6.01 states/eV per cell
- Crystal system: trigonal
- Calculated density: 11.09 g/cm³

a = 2.6007 Å, b = 2.6007 Å, c = 12.4064 Å
α = 90.00°, β = 90.00°, γ = 120.00°
Last column: nearest neighbours and their distance in Å.
Space group P-3m1 (No. 164)
Asymmetric unit:
Co 0.0000 0.0000 0.0000 [1 per cell]  12 Co 2.44-2.60
Co 0.3333 0.6667 0.1545 [2 per cell]  9 Co 2.44-2.60, 3 Rh 2.56
Rh 0.0000 0.0000 0.5000 [1 per cell]  12 Rh 2.60-2.68
Rh 0.3333 0.6667 0.6788 [2 per cell]  3 Co 2.56, 9 Rh 2.60-2.68

***

Sc2Rh | meta-GGA SCAN | PBEsol geometry

## Properties
- Calculated formation energy: -74.4 kJ/mol of atoms
- DOS at the Fermi energy: 11.55 states/eV per cell
- Crystal system: hexagonal
- Calculated density: 5.58 g/cm³

a = 6.8246 Å, b = 6.8246 Å, c = 4.2692 Å
α = 90.00°, β = 90.00°, γ = 120.00°
Last column: nearest neighbours and their distance in Å.
Space group P-62m (No. 189)
Asymmetric unit:
Sc 0.0000 0.4137 0.0000 [3 per cell]  5 Rh 2.82-2.96, 2 Sc 3.09
Sc 0.0000 0.7405 0.5000 [3 per cell]  4 Rh 2.56-2.77
Rh 0.0000 0.0000 0.0000 [1 per cell]  9 Sc 2.77-2.82
Rh 0.3333 0.6667 0.5000 [2 per cell]  3 Sc 2.56

***

RbLaBe2Au | meta-GGA SCAN | PBEsol geometry

## Properties
- Calculated formation energy: 143.7 kJ/mol of atoms
- DOS at the Fermi energy: 2.75 states/eV per cell
- Crystal system: tetragonal
- Calculated density: 1.87 g/cm³

a = 5.3177 Å, b = 5.3177 Å, c = 13.8336 Å
α = 90.00°, β = 90.00°, γ = 90.00°
Last column: nearest neighbours and their distance in Å.
Space group P4/mmm (No. 123)
Asymmetric unit:
Rb 0.0000 0.0000 0.0000 [1 per cell]  4 Au 3.76
La 0.0000 0.0000 0.5000 [1 per cell]  4 Be 2.66
Be 0.0000 0.5000 0.5000 [2 per cell]  2 La 2.66
Au 0.5000 0.5000 0.0000 [1 per cell]  4 Rb 3.76

***

MnOsW2 | meta-GGA SCAN | PBEsol geometry

## Properties
- Calculated formation energy: 8.2 kJ/mol of atoms
- DOS at the Fermi energy: 6.12 states/eV per cell
- Crystal system: tetragonal
- Calculated density: 17.85 g/cm³

a = 3.8684 Å, b = 3.8684 Å, c = 7.6185 Å
α = 90.00°, β = 90.00°, γ = 90.00°
Last column: nearest neighbours and their distance in Å.
Space group I4/mmm (No. 139)
Asymmetric unit:
Mn 0.0000 0.0000 0.0000 [2 per cell]  8 W 2.71, 4 Os 2.74
Os 0.0000 0.0000 0.5000 [2 per cell]  8 W 2.71, 4 Mn 2.74
W 0.0000 0.5000 0.2500 [4 per cell]  4 Mn 2.71, 4 Os 2.71, 4 W 2.74

***

RbCoMo2H | meta-GGA SCAN | PBEsol geometry

## Properties
- DOS at the Fermi energy: 4.44 states/eV per cell
- Crystal system: tetragonal
- Calculated density: 7.44 g/cm³
- DFT total energy: -20.802 eV per atom

a = 3.7881 Å, b = 3.7881 Å, c = 5.2451 Å
α = 90.00°, β = 90.00°, γ = 90.00°
Last column: nearest neighbours and their distance in Å.
Space group P4/mmm (No. 123)
Asymmetric unit:
Rb 0.0000 0.0000 0.0000 [1 per cell]  2 H 2.62, 4 Co 2.68
Co 0.5000 0.5000 0.0000 [1 per cell]  4 Rb 2.68
Mo 0.0000 0.5000 0.5000 [2 per cell]  2 H 1.89
H 0.0000 0.0000 0.5000 [1 per cell]  4 Mo 1.89

***

YTc4 | meta-GGA SCAN | PBEsol geometry

## Properties
- Calculated formation energy: 15.1 kJ/mol of atoms
- DOS at the Fermi energy: 10.93 states/eV per cell
- Crystal system: tetragonal
- Calculated density: 9.58 g/cm³

a = 5.9077 Å, b = 5.9077 Å, c = 4.7750 Å
α = 90.00°, β = 90.00°, γ = 90.00°
Last column: nearest neighbours and their distance in Å.
Space group I4/mmm (No. 139)
Asymmetric unit:
Y 0.0000 0.0000 0.0000 [2 per cell]  16 Tc 2.96-3.19
Tc 0.0000 0.2949 0.5000 [8 per cell]  3 Tc 2.42-2.46

***

LiRe2Br | meta-GGA SCAN | PBEsol geometry

## Properties
- Uncorrected formation energy: 1144 meV/atom
- DOS at the Fermi energy: 12.15 states/eV per cell
- Crystal system: trigonal
- Calculated density: 12.26 g/cm³

a = 2.8122 Å, b = 2.8122 Å, c = 27.2364 Å
α = 90.00°, β = 90.00°, γ = 120.00°
Last column: nearest neighbours and their distance in Å.
Space group R-3m (No. 166, hexagonal axes)
Asymmetric unit:
Li 0.0000 0.0000 0.0000 [3 per cell]  6 Li 2.81, 6 Re 2.85
Re 0.0000 0.0000 0.2474 [6 per cell]  3 Br 2.73, 6 Re 2.81, 3 Li 2.85
Br 0.0000 0.0000 0.5000 [3 per cell]  6 Re 2.73, 6 Br 2.81

***

CoNiTe2N | meta-GGA SCAN | PBEsol geometry

## Properties
- Uncorrected formation energy: 618 meV/atom
- DOS at the Fermi energy: 2.40 states/eV per cell
- Crystal system: tetragonal
- Calculated density: 7.38 g/cm³

a = 5.1180 Å, b = 5.1180 Å, c = 3.3206 Å
α = 90.00°, β = 90.00°, γ = 90.00°
Last column: nearest neighbours and their distance in Å.
Space group P4/mmm (No. 123)
Asymmetric unit:
Co 0.0000 0.0000 0.0000 [1 per cell]  8 Te 3.05, 2 Co 3.32
Ni 0.5000 0.5000 0.5000 [1 per cell]  2 N 1.66
Te 0.0000 0.5000 0.5000 [2 per cell]  2 Ni 2.56
N 0.5000 0.5000 0.0000 [1 per cell]  2 Ni 1.66

***

Zr2CdTe | meta-GGA SCAN | PBEsol geometry

## Properties
- Uncorrected formation energy: -350 meV/atom
- DOS at the Fermi energy: 4.52 states/eV per cell
- Crystal system: tetragonal
- Calculated density: 8.25 g/cm³

a = 4.6028 Å, b = 4.6028 Å, c = 8.0242 Å
α = 90.00°, β = 90.00°, γ = 90.00°
Last column: nearest neighbours and their distance in Å.
Space group I4/mmm (No. 139)
Asymmetric unit:
Zr 0.0000 0.5000 0.2500 [4 per cell]  4 Cd 3.05, 4 Te 3.05, 4 Zr 3.25
Cd 0.0000 0.0000 0.0000 [2 per cell]  8 Zr 3.05, 4 Te 3.25
Te 0.0000 0.0000 0.5000 [2 per cell]  8 Zr 3.05, 4 Cd 3.25

***

DyIn3 | meta-GGA SCAN | PBEsol geometry

## Properties
- Calculated formation energy: -51.2 kJ/mol of atoms
- DOS at the Fermi energy: 1.74 states/eV per cell
- Crystal system: cubic
- Calculated density: 8.96 g/cm³

a = 4.5469 Å, b = 4.5469 Å, c = 4.5469 Å
α = 90.00°, β = 90.00°, γ = 90.00°
Last column: nearest neighbours and their distance in Å.
Space group Pm-3m (No. 221)
Asymmetric unit:
Dy 0.0000 0.0000 0.0000 [1 per cell]  12 In 3.22
In 0.0000 0.5000 0.5000 [3 per cell]  8 In 3.22, 4 Dy 3.22